PBE CsNaCdAg2, relaxed; space-group type = No. 123; ΔH_f (0 K) = 0.65 eV/f.u.; theoretical density = 4.6 Mg/m³; crystal system = tetragonal; total magnetic moment = 0.0000 μB/atom; calculated total energy = -8.14 eV for the cell shown
1.0
5.5437 0.0000 0.0000
0.0000 5.5437 0.0000
0.0000 0.0000 5.6796
Cs Na Cd Ag
1 1 1 2
Direct
0.0000 0.0000 0.0000
0.5000 0.5000 0.0000
0.5000 0.5000 0.5000
0.0000 0.5000 0.5000
0.5000 0.0000 0.5000